Computed, not measured: Li2AlCu after structural relaxation at the GGA-PBE level of DFT.

Unit cell a=2.7906 b=2.7906 c=26.2915 alpha=90.00 beta=90.00 gamma=120.00
Space group R-3m (No. 166, hexagonal axes)
Symmetry-distinct sites (fractional):
Li (0.0000, 0.0000, 0.2458)
Al (0.0000, 0.0000, 0.0000)
Cu (0.0000, 0.0000, 0.5000)

## Properties
total energy: -2.895 eV per atom
formation enthalpy at 0 K: 0.02 eV per atom
magnetization: 0.000 μB per cell
density: 2.9 g cm⁻³

***

Computed, not measured: Li7AlCu3 after structural relaxation at the GGA-PBE level of DFT.

Unit cell a=5.5257 b=5.5257 c=6.4924 alpha=90.00 beta=90.00 gamma=120.00
Space group P3m1 (No. 156)
Symmetry-distinct sites (fractional):
Li (0.0000, 0.0000, 0.0000)
Li (0.0008, 0.5004, 0.0196)
Li (0.3410, 0.1705, 0.6358)
Al (0.3333, 0.6667, 0.6363)
Cu (0.1616, 0.3233, 0.3318)

## Properties
total energy: -2.632 eV per atom
formation enthalpy at 0 K: 0.04 eV per atom
magnetization: 0.000 μB per cell
density: 2.6 g cm⁻³

***

Computed, not measured: LiAlCu after structural relaxation at the GGA-PBE level of DFT.

Unit cell a=3.089 b=3.089 c=8.454 alpha=90.00 beta=90.00 gamma=90.00
Space group I4mm (No. 107)
Symmetry-distinct sites (fractional):
Li (0.000, 0.000, 0.000)
Al (0.000, 0.000, 0.321)
Cu (0.000, 0.000, 0.659)

## Properties
total energy: -3.405 eV per atom
formation enthalpy at 0 K: -0.15 eV per atom
magnetization: 0.000 μB per cell
density: 4.0 g cm⁻³

***

Computed, not measured: LiAl2Cu after structural relaxation at the GGA-PBE level of DFT.

Unit cell a=3.203 b=3.203 c=5.619 alpha=90.00 beta=90.00 gamma=90.00
Space group P4mm (No. 99)
Symmetry-distinct sites (fractional):
Li (0.000, 0.000, 0.000)
Al (0.000, 0.000, 0.533)
Al (0.500, 0.500, 0.249)
Cu (0.500, 0.500, 0.759)

## Properties
total energy: -3.497 eV per atom
formation enthalpy at 0 K: -0.12 eV per atom
magnetization: 0.000 μB per cell
density: 3.6 g cm⁻³

***

Computed, not measured: Li2AlCu after structural relaxation at the GGA-PBE level of DFT.

Unit cell a=2.651 b=3.916 c=5.585 alpha=90.00 beta=90.00 gamma=90.00
Space group Pmm2 (No. 25)
Symmetry-distinct sites (fractional):
Li (0.000, 0.000, 0.000)
Li (0.500, 0.500, 0.258)
Al (0.000, 0.000, 0.534)
Cu (0.500, 0.500, 0.737)

## Properties
total energy: -3.039 eV per atom
formation enthalpy at 0 K: -0.12 eV per atom
magnetization: 0.000 μB per cell
density: 3.0 g cm⁻³

***

Computed, not measured: LiAl2Cu after structural relaxation at the GGA-PBE level of DFT.

Unit cell a=6.052 b=6.052 c=6.052 alpha=90.00 beta=90.00 gamma=90.00
Space group Fm-3m (No. 225)
Symmetry-distinct sites (fractional):
Li (0.000, 0.000, 0.000)
Al (0.250, 0.250, 0.250)
Cu (0.000, 0.000, 0.500)

## Properties
total energy: -3.558 eV per atom
formation enthalpy at 0 K: -0.18 eV per atom
magnetization: 0.000 μB per cell
density: 3.7 g cm⁻³

***

Q: The highest total energy belongs to which entry?
A: Li7AlCu3

***

Q: Among the records above, which one has the highest density?
A: LiAlCu

***

Q: Look up the formation enthalpy at 0 K of the fourth one.
A: -0.12 eV per atom